# CeUMnO6 PBE with a Hubbard U optimized geometry
# * electronic total energy: -8.910 eV per atom
# * V: 14.4 Å³/atom
# * M_tot: 5.000 μB/f.u.
data_CeUMnO6
_space_group_name_H-M_alt 'P -3 1 c'
_space_group_IT_number 163
_space_group_name_Hall '-P 3 2c'
_cell_length_a 5.5043
_cell_length_b 5.5043
_cell_length_c 9.8903
_cell_angle_alpha 90.00
_cell_angle_beta 90.00
_cell_angle_gamma 120.00
loop_
_atom_site_label
_atom_site_fract_x
_atom_site_fract_y
_atom_site_fract_z
Ce1 0.0000 0.0000 0.0000
U1 0.3333 0.6667 0.2500
Mn1 0.3333 0.6667 0.7500
O1 0.0138 0.3477 0.1346